# SrCo2Si

A relaxed structure of SrCo2Si (GGA-PBE, the Alexandria database).

Summary:
Space-group type ... No. 44
Mass density ... 5.778 g/cm³
Calculated volume ... 16.78 A^3/atom
Formation energy without anion corrections ... 0.395 eV per atom

Lattice parameters (Å, degrees): 5.590 5.590 5.590 150.14 128.89 60.33
Positions (direct):
Sr  0.000  0.000  0.000
Co  0.480  0.480  0.000
Co  0.698  0.198  0.500
Si  0.289  0.789  0.500

***

# NbGeTeN2

A relaxed structure of NbGeTeN2 (GGA-PBE, the Alexandria database).

Summary:
Relative energy among the computed polymorphs ... 0 meV/atom
Space-group type ... No. 123
Mass density ... 5.514 g/cm³
Calculated volume ... 19.34 A^3/atom
Formation energy without anion corrections ... 0.430 eV per atom

Lattice parameters (Å, degrees): 4.088 4.088 5.786 90.00 90.00 90.00
Positions (direct):
Nb  0.000  0.000  0.000
Ge  0.500  0.500  0.500
Te  0.000  0.000  0.500
N  0.000  0.500  0.000
N  0.500  0.000  0.000

***

# MnPSe2

A relaxed structure of MnPSe2 (GGA-PBE, the Alexandria database).

Summary:
Space-group type ... No. 123
Mass density ... 5.987 g/cm³
Calculated volume ... 16.91 A^3/atom
Formation energy without anion corrections ... 0.336 eV per atom

Lattice parameters (Å, degrees): 3.192 3.192 6.636 90.00 90.00 90.00
Positions (direct):
Mn  0.000  0.000  0.000
P  0.000  0.000  0.500
Se  0.500  0.500  0.228
Se  0.500  0.500  0.772

***

# Be2V2MoRu5

A relaxed structure of Be2V2MoRu5 (GGA-PBE, the Alexandria database).

Summary:
Space-group type ... No. 127
Formation energy from the elements ... -130 meV/atom
Mass density ... 9.135 g/cm³
Calculated volume ... 13.11 A^3/atom

Lattice parameters (Å, degrees): 9.252 9.252 3.063 90.00 90.00 90.00
Positions (direct):
Be  0.121  0.379  0.000
Be  0.379  0.879  0.000
Be  0.621  0.121  0.000
Be  0.879  0.621  0.000
V  0.174  0.674  0.000
V  0.326  0.174  0.000
V  0.674  0.826  0.000
V  0.826  0.326  0.000
Mo  0.000  0.000  0.000
Mo  0.500  0.500  0.000
Ru  0.000  0.500  0.500
Ru  0.080  0.207  0.500
Ru  0.207  0.920  0.500
Ru  0.293  0.420  0.500
Ru  0.420  0.707  0.500
Ru  0.500  0.000  0.500
Ru  0.580  0.293  0.500
Ru  0.707  0.580  0.500
Ru  0.793  0.080  0.500
Ru  0.920  0.793  0.500

***

# Cu4Tc

A relaxed structure of Cu4Tc (GGA-PBE, the Alexandria database).

Summary:
Relative energy among the computed polymorphs ... 0 meV/atom
Space-group type ... No. 87
Formation energy from the elements ... 289 meV/atom
Mass density ... 9.191 g/cm³
Calculated volume ... 12.73 A^3/atom

Lattice parameters (Å, degrees): 4.508 4.508 4.508 100.31 100.31 129.94
Positions (direct):
Cu  0.095  0.301  0.396
Cu  0.301  0.905  0.205
Cu  0.699  0.095  0.795
Cu  0.905  0.699  0.604
Tc  0.500  0.500  0.000

***

# ZrPaHg2O8

A relaxed structure of ZrPaHg2O8 (GGA-PBE, the Alexandria database).

Summary:
Space-group type ... No. 119
Mass density ... 7.907 g/cm³
Calculated volume ... 14.90 A^3/atom
Formation energy without anion corrections ... -1.656 eV per atom

Lattice parameters (Å, degrees): 6.152 6.152 6.152 111.07 111.07 106.33
Positions (direct):
Zr  0.000  0.000  0.000
Pa  0.750  0.250  0.500
Hg  0.250  0.750  0.500
Hg  0.500  0.500  0.000
O  0.013  0.329  0.316
O  0.013  0.697  0.684
O  0.076  0.252  0.823
O  0.303  0.987  0.316
O  0.429  0.252  0.177
O  0.671  0.987  0.684
O  0.748  0.571  0.823
O  0.748  0.924  0.177

***

# SrZnAs2

A relaxed structure of SrZnAs2 (GGA-PBE, the Alexandria database).

Summary:
Space-group type ... No. 166
Formation energy from the elements ... -384 meV/atom
Mass density ... 5.243 g/cm³
Calculated volume ... 23.98 A^3/atom

Lattice parameters (Å, degrees): 5.907 5.907 5.907 45.61 45.61 45.61
Positions (direct):
Sr  0.000  0.000  0.000
Zn  0.500  0.500  0.500
As  0.207  0.207  0.207
As  0.793  0.793  0.793

***

no.,calculated total energy (eV/atom)
1,-4.934
2,-6.466
3,-5.051
4,-8.420
5,-5.062
6,-6.516
7,-3.447